A relaxed structure of KCaTl2Cl8, computed with PBE.

Structure (CIF):
```
data_KCaTl2Cl8
_space_group_name_H-M_alt 'P -3'
_space_group_IT_number 147
_space_group_name_Hall '-P 3'
_cell_length_a 6.9685
_cell_length_b 6.9685
_cell_length_c 9.6361
_cell_angle_alpha 90.00
_cell_angle_beta 90.00
_cell_angle_gamma 120.00
loop_
_atom_site_label
_atom_site_fract_x
_atom_site_fract_y
_atom_site_fract_z
_atom_site_occupancy
K1 0.0000 0.0000 0.0000 1
Ca1 0.0000 0.0000 0.5000 1
Tl1 0.3333 0.6667 0.7434 1
Cl1 0.0240 0.7042 0.3222 1
Cl2 0.3333 0.6667 0.0042 1
```

---

A relaxed structure of K2CaTlCl6, computed with PBE.

Structure (CIF):
```
data_K2CaTlCl6
_space_group_name_H-M_alt 'P 1 21/c 1'
_space_group_IT_number 14
_space_group_name_Hall '-P 2ybc'
_cell_length_a 7.401
_cell_length_b 7.789
_cell_length_c 12.939
_cell_angle_alpha 90.00
_cell_angle_beta 124.62
_cell_angle_gamma 90.00
loop_
_atom_site_label
_atom_site_fract_x
_atom_site_fract_y
_atom_site_fract_z
_atom_site_occupancy
K1 0.223 0.075 0.250 1
Ca1 0.500 0.000 0.000 1
Tl1 0.000 0.000 0.500 1
Cl1 0.142 0.193 0.942 1
Cl2 0.251 0.705 0.939 1
Cl3 0.371 0.038 0.756 1
```

---

A relaxed structure of KCaTlCl6, computed with PBE.

Structure (CIF):
```
data_KCaTlCl6
_space_group_name_H-M_alt 'P -3 1 c'
_space_group_IT_number 163
_space_group_name_Hall '-P 3 2c'
_cell_length_a 7.0449
_cell_length_b 7.0449
_cell_length_c 13.6190
_cell_angle_alpha 90.00
_cell_angle_beta 90.00
_cell_angle_gamma 120.00
loop_
_atom_site_label
_atom_site_fract_x
_atom_site_fract_y
_atom_site_fract_z
_atom_site_occupancy
K1 0.0000 0.0000 0.0000 1
Ca1 0.3333 0.6667 0.2500 1
Tl1 0.3333 0.6667 0.7500 1
Cl1 0.0126 0.3755 0.6382 1
```

---

A relaxed structure of KCaTl2Cl5, computed with PBE.

Structure (CIF):
```
data_KCaTl2Cl5
_space_group_name_H-M_alt 'C m c 21'
_space_group_IT_number 36
_space_group_name_Hall 'C 2c -2'
_cell_length_a 4.270
_cell_length_b 18.127
_cell_length_c 16.163
_cell_angle_alpha 90.00
_cell_angle_beta 90.00
_cell_angle_gamma 90.00
loop_
_atom_site_label
_atom_site_fract_x
_atom_site_fract_y
_atom_site_fract_z
_atom_site_occupancy
K1 0.000 0.050 0.000 1
Ca1 0.000 0.255 0.590 1
Tl1 0.000 0.354 0.820 1
Tl2 0.000 0.435 0.212 1
Cl1 0.000 0.023 0.331 1
Cl2 0.000 0.106 0.576 1
Cl3 0.000 0.225 0.981 1
Cl4 0.000 0.256 0.205 1
Cl5 0.000 0.403 0.625 1
```

---

A relaxed structure of KCaVCl6, computed with PBE.

Structure (CIF):
```
data_KCaVCl6
_space_group_name_H-M_alt 'P -3 1 c'
_space_group_IT_number 163
_space_group_name_Hall '-P 3 2c'
_cell_length_a 6.7804
_cell_length_b 6.7804
_cell_length_c 13.5692
_cell_angle_alpha 90.00
_cell_angle_beta 90.00
_cell_angle_gamma 120.00
loop_
_atom_site_label
_atom_site_fract_x
_atom_site_fract_y
_atom_site_fract_z
_atom_site_occupancy
K1 0.0000 0.0000 0.0000 1
Ca1 0.3333 0.6667 0.2500 1
V1 0.3333 0.6667 0.7500 1
Cl1 0.0380 0.3870 0.6462 1
```

---

A relaxed structure of K2CaVCl6, computed with PBE.

Structure (CIF):
```
data_K2CaVCl6
_space_group_name_H-M_alt 'I m m m'
_space_group_IT_number 71
_space_group_name_Hall '-I 2 2'
_cell_length_a 7.302
_cell_length_b 7.315
_cell_length_c 10.336
_cell_angle_alpha 90.00
_cell_angle_beta 90.00
_cell_angle_gamma 90.00
loop_
_atom_site_label
_atom_site_fract_x
_atom_site_fract_y
_atom_site_fract_z
_atom_site_occupancy
K1 0.000 0.000 0.249 1
Ca1 0.000 0.500 0.000 1
V1 0.000 0.500 0.500 1
Cl1 0.000 0.500 0.260 1
Cl2 0.240 0.261 0.500 1
```

---

A relaxed structure of K2CaWCl, computed with PBE.

Structure (CIF):
```
data_K2CaWCl
_space_group_name_H-M_alt 'P 4/m m m'
_space_group_IT_number 123
_space_group_name_Hall '-P 4 2'
_cell_length_a 6.149
_cell_length_b 6.149
_cell_length_c 4.595
_cell_angle_alpha 90.00
_cell_angle_beta 90.00
_cell_angle_gamma 90.00
loop_
_atom_site_label
_atom_site_fract_x
_atom_site_fract_y
_atom_site_fract_z
_atom_site_occupancy
K1 0.000 0.500 0.000 1
Ca1 0.000 0.000 0.500 1
W1 0.500 0.500 0.500 1
Cl1 0.500 0.500 0.000 1
```

---

A relaxed structure of K2CaZnCl6, computed with PBE.

Structure (CIF):
```
data_K2CaZnCl6
_space_group_name_H-M_alt 'R 3'
_space_group_IT_number 146
_space_group_name_Hall 'R 3'
_cell_length_a 7.3176
_cell_length_b 7.3176
_cell_length_c 17.5126
_cell_angle_alpha 90.00
_cell_angle_beta 90.00
_cell_angle_gamma 120.00
loop_
_atom_site_label
_atom_site_fract_x
_atom_site_fract_y
_atom_site_fract_z
_atom_site_occupancy
K1 0.0000 0.0000 0.0000 1
K2 0.0000 0.0000 0.4851 1
Ca1 0.0000 0.0000 0.7430 1
Zn1 0.0000 0.0000 0.2430 1
Cl1 0.0184 0.4415 0.9906 1
Cl2 0.1089 0.7568 0.8286 1
```

---

A relaxed structure of KCaZnCl5, computed with PBE.

Structure (CIF):
```
data_KCaZnCl5
_space_group_name_H-M_alt 'C 1 2/c 1'
_space_group_IT_number 15
_space_group_name_Hall '-C 2yc'
_cell_length_a 9.027
_cell_length_b 11.926
_cell_length_c 9.841
_cell_angle_alpha 90.00
_cell_angle_beta 113.78
_cell_angle_gamma 90.00
loop_
_atom_site_label
_atom_site_fract_x
_atom_site_fract_y
_atom_site_fract_z
_atom_site_occupancy
K1 0.000 0.156 0.250 1
Ca1 0.000 0.500 0.000 1
Zn1 0.000 0.184 0.750 1
Cl1 0.000 0.414 0.250 1
Cl2 0.118 0.290 0.626 1
Cl3 0.178 0.066 0.927 1
```

---

A relaxed structure of CaLa2Cl, computed with PBE.

Structure (CIF):
```
data_CaLa2Cl
_space_group_name_H-M_alt 'I -4 2 d'
_space_group_IT_number 122
_space_group_name_Hall 'I -4 2bw'
_cell_length_a 9.221
_cell_length_b 9.221
_cell_length_c 6.544
_cell_angle_alpha 90.00
_cell_angle_beta 90.00
_cell_angle_gamma 90.00
loop_
_atom_site_label
_atom_site_fract_x
_atom_site_fract_y
_atom_site_fract_z
_atom_site_occupancy
Ca1 0.000 0.000 0.000 1
La1 0.172 0.250 0.625 1
Cl1 0.000 0.000 0.500 1
```

Results
energy above the lowest structure with this stoichiometry = 188 meV per atom

---

A relaxed structure of CaLa2Cl, computed with PBE.

Structure (CIF):
```
data_CaLa2Cl
_space_group_name_H-M_alt 'F m -3 m'
_space_group_IT_number 225
_space_group_name_Hall '-F 4 2 3'
_cell_length_a 8.200
_cell_length_b 8.200
_cell_length_c 8.200
_cell_angle_alpha 90.00
_cell_angle_beta 90.00
_cell_angle_gamma 90.00
loop_
_atom_site_label
_atom_site_fract_x
_atom_site_fract_y
_atom_site_fract_z
_atom_site_occupancy
Ca1 0.000 0.000 0.000 1
La1 0.250 0.250 0.250 1
Cl1 0.000 0.000 0.500 1
```

Results
energy above the lowest structure with this stoichiometry = 604 meV per atom

---

A relaxed structure of CaLaCl2, computed with PBE.

Structure (CIF):
```
data_CaLaCl2
_space_group_name_H-M_alt 'F -4 3 m'
_space_group_IT_number 216
_space_group_name_Hall 'F -4 2 3'
_cell_length_a 7.797
_cell_length_b 7.797
_cell_length_c 7.797
_cell_angle_alpha 90.00
_cell_angle_beta 90.00
_cell_angle_gamma 90.00
loop_
_atom_site_label
_atom_site_fract_x
_atom_site_fract_y
_atom_site_fract_z
_atom_site_occupancy
Ca1 0.000 0.000 0.000 1
La1 0.250 0.250 0.250 1
Cl1 0.000 0.000 0.500 1
Cl2 0.250 0.250 0.750 1
```

Results
energy above the lowest structure with this stoichiometry = 990 meV per atom

---

A relaxed structure of CaLaCl2, computed with PBE.

Structure (CIF):
```
data_CaLaCl2
_space_group_name_H-M_alt 'I -4 2 d'
_space_group_IT_number 122
_space_group_name_Hall 'I -4 2bw'
_cell_length_a 6.593
_cell_length_b 6.593
_cell_length_c 12.817
_cell_angle_alpha 90.00
_cell_angle_beta 90.00
_cell_angle_gamma 90.00
loop_
_atom_site_label
_atom_site_fract_x
_atom_site_fract_y
_atom_site_fract_z
_atom_site_occupancy
Ca1 0.000 0.000 0.000 1
La1 0.000 0.000 0.500 1
Cl1 0.216 0.250 0.125 1
```

Results
energy above the lowest structure with this stoichiometry = 265 meV per atom

---

A relaxed structure of CaLaCl2, computed with PBE.

Structure (CIF):
```
data_CaLaCl2
_space_group_name_H-M_alt 'R -3 m'
_space_group_IT_number 166
_space_group_name_Hall '-R 3 2"'
_cell_length_a 3.8104
_cell_length_b 3.8104
_cell_length_c 29.0125
_cell_angle_alpha 90.00
_cell_angle_beta 90.00
_cell_angle_gamma 120.00
loop_
_atom_site_label
_atom_site_fract_x
_atom_site_fract_y
_atom_site_fract_z
_atom_site_occupancy
Ca1 0.0000 0.0000 0.0000 1
La1 0.0000 0.0000 0.5000 1
Cl1 0.0000 0.0000 0.0962 1
```

Results
energy above the lowest structure with this stoichiometry = 31 meV per atom

---

A relaxed structure of CaLaCl2, computed with PBE.

Structure (CIF):
```
data_CaLaCl2
_space_group_name_H-M_alt 'I m m m'
_space_group_IT_number 71
_space_group_name_Hall '-I 2 2'
_cell_length_a 3.597
_cell_length_b 7.168
_cell_length_c 9.187
_cell_angle_alpha 90.00
_cell_angle_beta 90.00
_cell_angle_gamma 90.00
loop_
_atom_site_label
_atom_site_fract_x
_atom_site_fract_y
_atom_site_fract_z
_atom_site_occupancy
Ca1 0.000 0.000 0.000 1
La1 0.000 0.000 0.500 1
Cl1 0.000 0.500 0.259 1
```

Results
energy above the lowest structure with this stoichiometry = 133 meV per atom

---

A relaxed structure of CaLaCl2, computed with PBE.

Structure (CIF):
```
data_CaLaCl2
_space_group_name_H-M_alt 'I -4 m 2'
_space_group_IT_number 119
_space_group_name_Hall 'I -4 -2'
_cell_length_a 4.061
_cell_length_b 4.061
_cell_length_c 14.606
_cell_angle_alpha 90.00
_cell_angle_beta 90.00
_cell_angle_gamma 90.00
loop_
_atom_site_label
_atom_site_fract_x
_atom_site_fract_y
_atom_site_fract_z
_atom_site_occupancy
Ca1 0.000 0.000 0.000 1
La1 0.000 0.500 0.250 1
Cl1 0.000 0.000 0.500 1
Cl2 0.000 0.500 0.750 1
```

Results
energy above the lowest structure with this stoichiometry = 215 meV per atom

---

A relaxed structure of CaLaCl2, computed with PBE.

Structure (CIF):
```
data_CaLaCl2
_space_group_name_H-M_alt 'R -3 m'
_space_group_IT_number 166
_space_group_name_Hall '-R 3 2"'
_cell_length_a 3.9980
_cell_length_b 3.9980
_cell_length_c 21.0686
_cell_angle_alpha 90.00
_cell_angle_beta 90.00
_cell_angle_gamma 120.00
loop_
_atom_site_label
_atom_site_fract_x
_atom_site_fract_y
_atom_site_fract_z
_atom_site_occupancy
Ca1 0.0000 0.0000 0.0000 1
La1 0.0000 0.0000 0.5000 1
Cl1 0.0000 0.0000 0.2606 1
```

Results
energy above the lowest structure with this stoichiometry = 53 meV per atom

---

A relaxed structure of CaLa2Cl, computed with PBE.

Structure (CIF):
```
data_CaLa2Cl
_space_group_name_H-M_alt 'I m m m'
_space_group_IT_number 71
_space_group_name_Hall '-I 2 2'
_cell_length_a 3.565
_cell_length_b 5.623
_cell_length_c 12.875
_cell_angle_alpha 90.00
_cell_angle_beta 90.00
_cell_angle_gamma 90.00
loop_
_atom_site_label
_atom_site_fract_x
_atom_site_fract_y
_atom_site_fract_z
_atom_site_occupancy
Ca1 0.000 0.000 0.000 1
La1 0.000 0.500 0.207 1
Cl1 0.000 0.000 0.500 1
```

Results
energy above the lowest structure with this stoichiometry = 98 meV per atom

---

A relaxed structure of CaLaCl2, computed with PBE.

Structure (CIF):
```
data_CaLaCl2
_space_group_name_H-M_alt 'P m m m'
_space_group_IT_number 47
_space_group_name_Hall '-P 2 2'
_cell_length_a 3.787
_cell_length_b 3.965
_cell_length_c 7.089
_cell_angle_alpha 90.00
_cell_angle_beta 90.00
_cell_angle_gamma 90.00
loop_
_atom_site_label
_atom_site_fract_x
_atom_site_fract_y
_atom_site_fract_z
_atom_site_occupancy
Ca1 0.000 0.000 0.000 1
La1 0.500 0.000 0.500 1
Cl1 0.000 0.500 0.286 1
```

Results
energy above the lowest structure with this stoichiometry = 108 meV per atom

---

A relaxed structure of CaLaCl2, computed with PBE.

Structure (CIF):
```
data_CaLaCl2
_space_group_name_H-M_alt 'C 1 2/m 1'
_space_group_IT_number 12
_space_group_name_Hall '-C 2y'
_cell_length_a 7.284
_cell_length_b 9.302
_cell_length_c 3.845
_cell_angle_alpha 90.00
_cell_angle_beta 116.43
_cell_angle_gamma 90.00
loop_
_atom_site_label
_atom_site_fract_x
_atom_site_fract_y
_atom_site_fract_z
_atom_site_occupancy
Ca1 0.000 0.000 0.000 1
La1 0.000 0.500 0.000 1
Cl1 0.250 0.250 0.000 1
```

Results
energy above the lowest structure with this stoichiometry = 147 meV per atom

---

Number 1: formation energy (no corrections) -1.242 eV per atom. Number 2: formation energy (no corrections) -1.708 eV per atom. Number 3: formation energy (no corrections) -1.556 eV per atom. Number 4: formation energy (no corrections) -1.666 eV per atom. Number 5: formation energy (no corrections) -1.786 eV per atom. Number 6: formation energy (no corrections) -1.822 eV per atom. Number 7: formation energy (no corrections) 0.715 eV per atom. Number 8: formation energy (no corrections) -1.817 eV per atom. Number 9: formation energy (no corrections) -1.838 eV per atom. Number 10: formation energy (no corrections) -0.499 eV per atom. Number 11: formation energy (no corrections) -0.083 eV per atom. Number 12: formation energy (no corrections) -0.555 eV per atom. Number 13: formation energy (no corrections) -1.281 eV per atom. Number 14: formation energy (no corrections) -1.514 eV per atom. Number 15: formation energy (no corrections) -1.413 eV per atom. Number 16: formation energy (no corrections) -1.331 eV per atom. Number 17: formation energy (no corrections) -1.493 eV per atom. Number 18: formation energy (no corrections) -0.590 eV per atom. Number 19: formation energy (no corrections) -1.437 eV per atom. Number 20: formation energy (no corrections) -1.398 eV per atom.